Record 1
Computed, not measured: a relaxed structure of Y2Ho8Th3 at the GGA-PBE level of DFT.

a = 14.789 Å, b = 9.217 Å, c = 6.606 Å
α = 90.00°, β = 99.60°, γ = 90.00°
Space group C2/m (No. 12)
Symmetry-distinct sites (fractional):
Y (0.214, 0.000, 0.295)
Ho (0.081, 0.500, 0.370)
Ho (0.112, 0.322, 0.935)
Ho (0.196, 0.000, 0.788)
Th (0.000, 0.000, 0.000)
Th (0.000, 0.169, 0.500)

Output
Calculated formation energy ... 0.28 eV per atom
Excess energy over the best structure of this formula in the dataset ... 0.117 eV per atom
Electronic total energy ... -68.168 eV per formula unit

=====

Record 2
Computed, not measured: a relaxed structure of YHo3Th at the GGA-PBE level of DFT.

a = 6.250 Å, b = 6.721 Å, c = 8.437 Å
α = 102.93°, β = 111.55°, γ = 90.24°
Space group P-1 (No. 2)
Symmetry-distinct sites (fractional):
Y (0.218, 0.344, 0.100)
Ho (0.022, 0.944, 0.698)
Ho (0.385, 0.842, 0.097)
Ho (0.409, 0.748, 0.497)
Th (0.176, 0.445, 0.695)

Output
Calculated formation energy ... 0.03 eV per atom
Excess energy over the best structure of this formula in the dataset ... 0.000 eV per atom
Electronic total energy ... -27.484 eV per formula unit

=====

Record 3
Computed, not measured: a relaxed structure of Y7Ho12Th at the GGA-PBE level of DFT.

a = 12.1960 Å, b = 12.1960 Å, c = 15.2188 Å
α = 90.00°, β = 90.00°, γ = 120.00°
Space group R-3 (No. 148, hexagonal axes)
Symmetry-distinct sites (fractional):
Y (0.0000, 0.0000, 0.0000)
Y (0.0404, 0.1855, 0.3041)
Ho (0.0146, 0.4447, 0.2045)
Ho (0.0575, 0.5871, 0.5883)
Th (0.0000, 0.0000, 0.5000)

Output
Calculated formation energy ... 0.23 eV per atom
Excess energy over the best structure of this formula in the dataset ... 0.000 eV per atom
Electronic total energy ... -102.999 eV per formula unit

=====

Record 4
Computed, not measured: a relaxed structure of Y5Ho3Th at the GGA-PBE level of DFT.

a = 8.858 Å, b = 8.858 Å, c = 14.911 Å
α = 90.00°, β = 90.00°, γ = 90.00°
Space group I4/mcm (No. 140)
Symmetry-distinct sites (fractional):
Y (0.000, 0.000, 0.000)
Y (0.206, 0.294, 0.134)
Ho (0.000, 0.000, 0.250)
Ho (0.113, 0.387, 0.500)
Th (0.000, 0.500, 0.250)

Output
Calculated formation energy ... 0.31 eV per atom
Electronic total energy ... -50.644 eV per formula unit

=====

Record 5
Computed, not measured: a relaxed structure of YHo5Th3 at the GGA-PBE level of DFT.

a = 12.480 Å, b = 8.198 Å, c = 12.351 Å
α = 90.00°, β = 96.46°, γ = 90.00°
Space group C2/m (No. 12)
Symmetry-distinct sites (fractional):
Y (0.140, 0.000, 0.268)
Ho (0.000, 0.328, 0.000)
Ho (0.057, 0.500, 0.621)
Ho (0.134, 0.195, 0.775)
Ho (0.243, 0.500, 0.978)
Th (0.000, 0.000, 0.000)
Th (0.000, 0.000, 0.500)
Th (0.122, 0.500, 0.216)
Th (0.239, 0.500, 0.454)

Output
Calculated formation energy ... 0.55 eV per atom
Electronic total energy ... -46.648 eV per formula unit

=====

Record 6
Computed, not measured: a relaxed structure of YHo6Th at the GGA-PBE level of DFT.

a = 6.583 Å, b = 6.613 Å, c = 6.715 Å
α = 60.57°, β = 88.21°, γ = 88.20°
Space group P-1 (No. 2)
Symmetry-distinct sites (fractional):
Y (0.000, 0.000, 0.000)
Ho (0.249, 0.570, 0.506)
Ho (0.252, 0.071, 0.500)
Ho (0.253, 0.533, 0.004)
Th (0.500, 0.000, 0.000)

Output
Calculated formation energy ... 0.22 eV per atom
Excess energy over the best structure of this formula in the dataset ... 0.192 eV per atom
Electronic total energy ... -39.557 eV per formula unit

=====

Record 7
Computed, not measured: a relaxed structure of YHo2Th at the GGA-PBE level of DFT.

a = 3.558 Å, b = 3.558 Å, c = 10.053 Å
α = 90.00°, β = 90.00°, γ = 90.00°
Space group P4/mmm (No. 123)
Symmetry-distinct sites (fractional):
Y (0.000, 0.000, 0.000)
Ho (0.500, 0.500, 0.257)
Th (0.000, 0.000, 0.500)

Output
Calculated formation energy ... 0.02 eV per atom
Excess energy over the best structure of this formula in the dataset ... 0.021 eV per atom
Electronic total energy ... -22.942 eV per formula unit

=====

Record 8
Computed, not measured: a relaxed structure of Y6Ho12Th at the GGA-PBE level of DFT.

a = 13.3003 Å, b = 13.3003 Å, c = 12.2296 Å
α = 90.00°, β = 90.00°, γ = 120.00°
Space group R-3m (No. 166, hexagonal axes)
Symmetry-distinct sites (fractional):
Y (0.0381, 0.5191, 0.1261)
Ho (0.0000, 0.2550, 0.0000)
Ho (0.0903, 0.1807, 0.7560)
Th (0.0000, 0.0000, 0.5000)

Output
Calculated formation energy ... 0.22 eV per atom
Excess energy over the best structure of this formula in the dataset ... 0.073 eV per atom
Electronic total energy ... -96.885 eV per formula unit